No. 1
CdPdPb2 | Alexandria via LeMat-Bulk | PBE | optimized geometry; space group = No. 122
1.0
4.564 0.000 0.000
0.000 4.564 0.000
0.000 0.000 19.825
Cd Pd Pb
4 4 8
direct
0.000 0.000 0.000
0.000 0.500 0.250
0.500 0.000 0.750
0.500 0.500 0.500
0.000 0.000 0.500
0.000 0.500 0.750
0.500 0.000 0.250
0.500 0.500 0.000
0.235 0.250 0.625
0.250 0.735 0.875
0.250 0.765 0.375
0.265 0.250 0.125
0.735 0.750 0.125
0.750 0.235 0.375
0.750 0.265 0.875
0.765 0.750 0.625

=====

No. 2
RbTbAu | Alexandria via LeMat-Bulk | PBE | optimized geometry; space group = No. 38
1.0
16.122 0.000 0.000
0.000 4.067 0.000
0.000 0.000 7.041
Rb Tb Au
4 4 4
direct
0.150 0.000 0.000
0.150 0.500 0.500
0.850 0.000 0.000
0.850 0.500 0.500
0.388 0.000 0.662
0.388 0.500 0.162
0.612 0.000 0.662
0.612 0.500 0.162
0.000 0.000 0.667
0.000 0.500 0.167
0.500 0.000 0.995
0.500 0.500 0.495

=====

Number 1: N(E_F) 1.84 states/eV/f.u., VASP energy -52.4 eV per cell. Number 2: N(E_F) 2.95 states/eV/f.u., VASP energy -36.7 eV per cell.